Record 1
ErAl2Co2Ge: relaxed, PBE.

Structure (extended XYZ):
```
6
Lattice="-3.530 1.728 -1.806 -0.346 -3.434 -2.607 -3.163 -2.535 3.758" Properties=species:S:1:pos:R:3 pbc="T T T"
Er -1.582 -1.267 1.879
Al -4.299 -2.745 0.598
Al -2.741 -1.496 -1.253
Co -1.765 0.864 -0.903
Co -0.173 -1.717 -1.304
Ge 0.000 0.000 0.000
```

Summary:
For the density of states at the Fermi level, the calculation gives 6.3 states/eV/f.u. The value obtained for the formation energy is -0.222 eV/atom. The total moment is 1.011 μB per formula unit.

***

Record 2
TiTc3B: relaxed, PBE.

Structure (extended XYZ):
```
5
Lattice="4.123 0.000 0.000 0.000 4.123 0.000 0.000 0.000 4.123" Properties=species:S:1:pos:R:3 pbc="T T T"
B 0.000 0.000 0.000
Tc 0.000 2.061 0.000
Tc 0.000 0.000 2.061
Tc 2.061 0.000 0.000
Ti 2.061 2.061 2.061
```

Summary:
For the density of states at the Fermi level, the calculation gives 9.7 states/eV/f.u. The value obtained for the formation energy is -0.062 eV/atom. The total moment is 0.000 μB per formula unit. The calculation puts the energy above the most stable polymorph in this dataset at 0.0 kJ per mole of atoms.

***

Q: Which of these has the lowest total moment?
A: TiTc3B